[1]
Here is a relaxed structure of Mn2Fe8Co from Alexandria. Energies are from PBE.

Values from the calculation:
Energy of formation   216 meV per atom
DOS at the Fermi energy   1.165 states/eV per atom
DFT total energy   -90.766 eV per formula unit

a = 6.9014 Å, b = 6.9014 Å, c = 4.3850 Å
α = 105.68°, β = 105.68°, γ = 39.12°
With the nearest neighbours (Å) after each atom.
Positions (direct):
Mn 0.2374 0.2374 0.3771  7 Fe 2.28-2.41, 2 Mn 2.53
Mn 0.7626 0.7626 0.6229  7 Fe 2.28-2.41, 2 Mn 2.53
Fe 0.0843 0.0843 0.9616  1 Mn 2.28, 3 Fe 2.31-2.36
Fe 0.1591 0.6553 0.4992  4 Fe 2.29-2.41, 2 Mn 2.40-2.41, 1 Co 2.46
Fe 0.3042 0.3042 0.9367  2 Mn 2.33-2.36, 1 Co 2.48
Fe 0.3447 0.8409 0.5008  4 Fe 2.29-2.41, 2 Mn 2.40-2.41, 1 Co 2.46
Fe 0.6553 0.1591 0.4992  4 Fe 2.29-2.41, 2 Mn 2.40-2.41, 1 Co 2.46
Fe 0.6958 0.6958 0.0633  2 Mn 2.33-2.36, 1 Co 2.48
Fe 0.8409 0.3447 0.5008  4 Fe 2.29-2.41, 2 Mn 2.40-2.41, 1 Co 2.46
Fe 0.9157 0.9157 0.0384  1 Mn 2.28, 3 Fe 2.31-2.36
Co 0.5000 0.5000 0.0000  10 Fe 2.46-2.58

[2]
Here is a relaxed structure of Mn2Fe2Co from Alexandria. Energies are from PBE.

Values from the calculation:
Energy of formation   88 meV per atom
Polymorph energy (0 for the lowest one)   0.000 eV per atom
DOS at the Fermi energy   1.388 states/eV per atom
DFT total energy   -41.929 eV per formula unit

a = 2.4756 Å, b = 6.5784 Å, c = 7.0329 Å
α = 105.56°, β = 90.03°, γ = 100.77°
With the nearest neighbours (Å) after each atom.
Positions (direct):
Mn 0.0017 0.0033 0.2460  5 Fe 2.46-2.51, 4 Co 2.46-2.47, 3 Mn 2.48-2.55
Mn 0.2042 0.4070 0.8486  3 Co 2.43-2.50, 4 Fe 2.44-2.48, 5 Mn 2.47-2.55
Mn 0.7958 0.5930 0.1514  3 Co 2.43-2.50, 4 Fe 2.44-2.48, 5 Mn 2.47-2.55
Mn 0.9983 0.9967 0.7540  5 Fe 2.46-2.51, 4 Co 2.46-2.47, 3 Mn 2.48-2.55
Fe 0.2010 0.3993 0.3481  3 Mn 2.44-2.46, 2 Co 2.48, 7 Fe 2.48-2.53
Fe 0.4019 0.8033 0.4459  6 Fe 2.45-2.53, 6 Mn 2.47-2.51
Fe 0.5981 0.1967 0.5541  6 Fe 2.45-2.53, 6 Mn 2.47-2.51
Fe 0.7990 0.6007 0.6519  3 Mn 2.44-2.46, 2 Co 2.48, 7 Fe 2.48-2.53
Co 0.3996 0.7977 0.9521  7 Mn 2.43-2.50, 2 Fe 2.48, 3 Co 2.48-2.52
Co 0.6004 0.2023 0.0479  7 Mn 2.43-2.50, 2 Fe 2.48, 3 Co 2.48-2.52

[3]
Here is a relaxed structure of MnFe6Co from Alexandria. Energies are from PBE.

Values from the calculation:
Energy of formation   66 meV per atom
Polymorph energy (0 for the lowest one)   0.031 eV per atom
DOS at the Fermi energy   0.999 states/eV per atom
DFT total energy   -66.525 eV per formula unit

a = 4.5331 Å, b = 4.5331 Å, c = 4.5331 Å
α = 90.00°, β = 90.00°, γ = 90.00°
With the nearest neighbours (Å) after each atom.
Positions (direct):
Mn 0.0000 0.0000 0.0000  12 Fe 2.54
Fe 0.0000 0.2518 0.5000  2 Fe 2.25-2.28
Fe 0.0000 0.7482 0.5000  2 Fe 2.25-2.28
Fe 0.2518 0.5000 0.0000  2 Fe 2.25-2.28
Fe 0.5000 0.0000 0.2518  2 Fe 2.25-2.28
Fe 0.5000 0.0000 0.7482  2 Fe 2.25-2.28
Fe 0.7482 0.5000 0.0000  2 Fe 2.25-2.28
Co 0.5000 0.5000 0.5000  12 Fe 2.53

[4]
Here is a relaxed structure of Mn6Fe3Co from Alexandria. Energies are from PBE.

Values from the calculation:
Energy of formation   239 meV per atom
DOS at the Fermi energy   1.255 states/eV per atom
DFT total energy   -85.120 eV per formula unit

a = 6.3967 Å, b = 6.3967 Å, c = 6.1508 Å
α = 90.00°, β = 90.00°, γ = 116.47°
With the nearest neighbours (Å) after each atom.
Positions (direct):
Mn 0.0251 0.3122 0.6429  3 Mn 2.22-2.46, 2 Fe 2.38-2.40
Mn 0.0611 0.9389 0.5000  4 Mn 2.24-2.46, 2 Fe 2.35, 1 Co 2.42
Mn 0.1614 0.2757 0.3206  5 Mn 2.22-2.46, 2 Fe 2.33-2.35, 1 Co 2.48
Mn 0.2757 0.1614 0.8206  5 Mn 2.22-2.46, 2 Fe 2.33-2.35, 1 Co 2.48
Mn 0.3018 0.6982 0.3737  1 Co 2.38, 4 Mn 2.46-2.50, 3 Fe 2.52-2.67
Mn 0.3122 0.0251 0.1429  3 Mn 2.22-2.46, 2 Fe 2.38-2.40
Mn 0.6878 0.9749 0.6429  3 Mn 2.22-2.46, 2 Fe 2.38-2.40
Mn 0.6982 0.3018 0.8737  1 Co 2.38, 4 Mn 2.46-2.50, 3 Fe 2.52-2.67
Mn 0.7243 0.8386 0.3206  5 Mn 2.22-2.46, 2 Fe 2.33-2.35, 1 Co 2.48
Mn 0.8386 0.7243 0.8206  5 Mn 2.22-2.46, 2 Fe 2.33-2.35, 1 Co 2.48
Mn 0.9389 0.0611 0.0000  4 Mn 2.24-2.46, 2 Fe 2.35, 1 Co 2.42
Mn 0.9749 0.6878 0.1429  3 Mn 2.22-2.46, 2 Fe 2.38-2.40
Fe 0.1620 0.4687 0.9987  4 Mn 2.33-2.40, 1 Co 2.34, 2 Fe 2.49-2.50
Fe 0.4687 0.1620 0.4987  4 Mn 2.33-2.40, 1 Co 2.34, 2 Fe 2.49-2.50
Fe 0.4729 0.5271 0.6493  5 Mn 2.35-2.57, 2 Fe 2.50
Fe 0.5271 0.4729 0.1493  5 Mn 2.35-2.57, 2 Fe 2.50
Fe 0.5313 0.8380 0.9987  4 Mn 2.33-2.40, 1 Co 2.34, 2 Fe 2.49-2.50
Fe 0.8380 0.5313 0.4987  4 Mn 2.33-2.40, 1 Co 2.34, 2 Fe 2.49-2.50
Co 0.2355 0.7645 0.7433  2 Fe 2.34, 4 Mn 2.38-2.48
Co 0.7645 0.2355 0.2433  2 Fe 2.34, 4 Mn 2.38-2.48

[5]
Here is a relaxed structure of MnFe2Co5 from Alexandria. Energies are from PBE.

Values from the calculation:
Energy of formation   131 meV per atom
DOS at the Fermi energy   1.303 states/eV per atom
DFT total energy   -60.577 eV per formula unit

a = 6.2919 Å, b = 6.2919 Å, c = 6.2919 Å
α = 157.18°, β = 104.37°, γ = 80.21°
With the nearest neighbours (Å) after each atom.
Positions (direct):
Mn 0.0000 0.0000 0.0000  2 Mn 2.49, 8 Co 2.66, 4 Fe 2.72
Fe 0.2513 0.7513 0.5000  7 Co 2.35-2.52, 2 Fe 2.49
Fe 0.7487 0.2487 0.5000  7 Co 2.35-2.52, 2 Fe 2.49
Co 0.1355 0.3747 0.7608  3 Fe 2.35-2.52, 5 Co 2.41-2.53
Co 0.3861 0.6253 0.7608  3 Fe 2.35-2.52, 5 Co 2.41-2.53
Co 0.5000 0.0000 0.5000  2 Fe 2.39, 10 Co 2.49-2.53
Co 0.6139 0.3747 0.2392  3 Fe 2.35-2.52, 5 Co 2.41-2.53
Co 0.8645 0.6253 0.2392  3 Fe 2.35-2.52, 5 Co 2.41-2.53

[6]
Here is a relaxed structure of Mn2Fe2Co15 from Alexandria. Energies are from PBE.

Values from the calculation:
Energy of formation   190 meV per atom
DOS at the Fermi energy   0.892 states/eV per atom
DFT total energy   -138.236 eV per formula unit

a = 6.1652 Å, b = 6.1652 Å, c = 6.1652 Å
α = 82.32°, β = 82.32°, γ = 82.32°
With the nearest neighbours (Å) after each atom.
Positions (direct):
Mn 0.1082 0.1082 0.1082  12 Co 2.45-2.73, 1 Mn 2.60
Mn 0.8918 0.8918 0.8918  12 Co 2.45-2.73, 1 Mn 2.60
Fe 0.3664 0.3664 0.3664  12 Co 2.64-2.91
Fe 0.6336 0.6336 0.6336  12 Co 2.64-2.91
Co 0.0000 0.0000 0.5000  8 Co 2.35-2.40, 2 Mn 2.45
Co 0.0000 0.2959 0.7041  8 Co 2.35-2.56
Co 0.0000 0.5000 0.0000  8 Co 2.35-2.40, 2 Mn 2.45
Co 0.0000 0.7041 0.2959  8 Co 2.35-2.56
Co 0.1599 0.6408 0.6408  8 Co 2.30-2.56
Co 0.2959 0.0000 0.7041  8 Co 2.35-2.56
Co 0.2959 0.7041 0.0000  8 Co 2.35-2.56
Co 0.3592 0.3592 0.8401  8 Co 2.30-2.56
Co 0.3592 0.8401 0.3592  8 Co 2.30-2.56
Co 0.5000 0.0000 0.0000  8 Co 2.35-2.40, 2 Mn 2.45
Co 0.6408 0.1599 0.6408  8 Co 2.30-2.56
Co 0.6408 0.6408 0.1599  8 Co 2.30-2.56
Co 0.7041 0.0000 0.2959  8 Co 2.35-2.56
Co 0.7041 0.2959 0.0000  8 Co 2.35-2.56
Co 0.8401 0.3592 0.3592  8 Co 2.30-2.56

[7]
Here is a relaxed structure of MnFeCo2 from Alexandria. Energies are from PBE.

Values from the calculation:
Energy of formation   86 meV per atom
Polymorph energy (0 for the lowest one)   0.129 eV per atom
DOS at the Fermi energy   1.445 states/eV per atom
DFT total energy   -31.499 eV per formula unit

a = 4.3288 Å, b = 4.3288 Å, c = 4.3080 Å
α = 99.84°, β = 99.84°, γ = 33.54°
With the nearest neighbours (Å) after each atom.
Positions (direct):
Mn 0.0000 0.0000 0.0000  7 Co 2.47-2.51, 3 Fe 2.49-2.51, 2 Mn 2.50
Fe 0.7522 0.7522 0.2518  7 Co 2.48-2.51, 3 Mn 2.49-2.51, 2 Fe 2.50
Co 0.2495 0.2495 0.7486  5 Co 2.46-2.50, 4 Fe 2.48-2.50, 3 Mn 2.50
Co 0.5024 0.5024 0.5072  5 Co 2.46-2.50, 4 Mn 2.47-2.51, 3 Fe 2.50-2.51

[8]
Here is a relaxed structure of MnFe6Co from Alexandria. Energies are from PBE.

Values from the calculation:
Energy of formation   35 meV per atom
Polymorph energy (0 for the lowest one)   0.000 eV per atom
DOS at the Fermi energy   0.868 states/eV per atom
DFT total energy   -66.771 eV per formula unit

a = 6.9560 Å, b = 6.9560 Å, c = 6.9560 Å
α = 33.45°, β = 33.45°, γ = 33.45°
With the nearest neighbours (Å) after each atom.
Positions (direct):
Mn 0.0000 0.0000 0.0000  8 Fe 2.45-2.46
Fe 0.1251 0.1251 0.1251  3 Co 2.45, 4 Fe 2.46-2.47, 1 Mn 2.46
Fe 0.2505 0.2505 0.2505  8 Fe 2.45-2.47
Fe 0.3750 0.3750 0.3750  4 Fe 2.45, 3 Mn 2.45, 1 Co 2.46
Fe 0.6250 0.6250 0.6250  4 Fe 2.45, 3 Mn 2.45, 1 Co 2.46
Fe 0.7495 0.7495 0.7495  8 Fe 2.45-2.47
Fe 0.8749 0.8749 0.8749  3 Co 2.45, 4 Fe 2.46-2.47, 1 Mn 2.46
Co 0.5000 0.5000 0.5000  8 Fe 2.45-2.46

[9]
Here is a relaxed structure of MnFeCo6 from Alexandria. Energies are from PBE.

Values from the calculation:
Energy of formation   35 meV per atom
DOS at the Fermi energy   0.941 states/eV per atom
DFT total energy   -59.986 eV per formula unit

a = 3.9459 Å, b = 4.9169 Å, c = 4.9169 Å
α = 72.68°, β = 90.00°, γ = 90.00°
With the nearest neighbours (Å) after each atom.
Positions (direct):
Mn 0.0000 0.0000 0.0000  8 Co 2.45-2.47
Fe 0.5000 0.7433 0.7433  8 Co 2.42-2.48
Co 0.0000 0.4812 0.4812  10 Co 2.41-2.68
Co 0.0000 0.5034 0.9846  4 Co 2.41-2.51, 2 Fe 2.42, 2 Mn 2.45-2.47
Co 0.0000 0.9846 0.5034  4 Co 2.41-2.51, 2 Fe 2.42, 2 Mn 2.45-2.47
Co 0.5000 0.2463 0.7460  4 Co 2.42-2.50, 2 Fe 2.44-2.48, 2 Mn 2.45
Co 0.5000 0.2520 0.2520  10 Co 2.42-2.68
Co 0.5000 0.7460 0.2463  4 Co 2.42-2.50, 2 Fe 2.44-2.48, 2 Mn 2.45

[10]
Here is a relaxed structure of MnFe6Co5 from Alexandria. Energies are from PBE.

Values from the calculation:
Energy of formation   -15 meV per atom
DOS at the Fermi energy   0.504 states/eV per atom
DFT total energy   -95.657 eV per formula unit

a = 6.3765 Å, b = 6.3765 Å, c = 5.6886 Å
α = 90.00°, β = 90.00°, γ = 143.16°
With the nearest neighbours (Å) after each atom.
Positions (direct):
Mn 0.0000 0.0000 0.0000  8 Fe 2.47
Fe 0.1671 0.8329 0.2508  7 Co 2.46-2.47, 1 Mn 2.47
Fe 0.1671 0.8329 0.7492  7 Co 2.46-2.47, 1 Mn 2.47
Fe 0.5000 0.5000 0.2511  6 Co 2.46-2.47, 2 Mn 2.47
Fe 0.5000 0.5000 0.7489  6 Co 2.46-2.47, 2 Mn 2.47
Fe 0.8329 0.1671 0.2508  7 Co 2.46-2.47, 1 Mn 2.47
Fe 0.8329 0.1671 0.7492  7 Co 2.46-2.47, 1 Mn 2.47
Co 0.0000 0.0000 0.5000  8 Fe 2.46-2.47
Co 0.3333 0.6667 0.0000  8 Fe 2.47
Co 0.3334 0.6666 0.5000  8 Fe 2.46
Co 0.6667 0.3333 0.0000  8 Fe 2.47
Co 0.6666 0.3334 0.5000  8 Fe 2.46

Repeat the first record exactly.
Here is a relaxed structure of Mn2Fe8Co from Alexandria. Energies are from PBE.

Values from the calculation:
Energy of formation   216 meV per atom
DOS at the Fermi energy   1.165 states/eV per atom
DFT total energy   -90.766 eV per formula unit

a = 6.9014 Å, b = 6.9014 Å, c = 4.3850 Å
α = 105.68°, β = 105.68°, γ = 39.12°
With the nearest neighbours (Å) after each atom.
Positions (direct):
Mn 0.2374 0.2374 0.3771  7 Fe 2.28-2.41, 2 Mn 2.53
Mn 0.7626 0.7626 0.6229  7 Fe 2.28-2.41, 2 Mn 2.53
Fe 0.0843 0.0843 0.9616  1 Mn 2.28, 3 Fe 2.31-2.36
Fe 0.1591 0.6553 0.4992  4 Fe 2.29-2.41, 2 Mn 2.40-2.41, 1 Co 2.46
Fe 0.3042 0.3042 0.9367  2 Mn 2.33-2.36, 1 Co 2.48
Fe 0.3447 0.8409 0.5008  4 Fe 2.29-2.41, 2 Mn 2.40-2.41, 1 Co 2.46
Fe 0.6553 0.1591 0.4992  4 Fe 2.29-2.41, 2 Mn 2.40-2.41, 1 Co 2.46
Fe 0.6958 0.6958 0.0633  2 Mn 2.33-2.36, 1 Co 2.48
Fe 0.8409 0.3447 0.5008  4 Fe 2.29-2.41, 2 Mn 2.40-2.41, 1 Co 2.46
Fe 0.9157 0.9157 0.0384  1 Mn 2.28, 3 Fe 2.31-2.36
Co 0.5000 0.5000 0.0000  10 Fe 2.46-2.58

Copy entry 6 word for word.
Here is a relaxed structure of Mn2Fe2Co15 from Alexandria. Energies are from PBE.

Values from the calculation:
Energy of formation   190 meV per atom
DOS at the Fermi energy   0.892 states/eV per atom
DFT total energy   -138.236 eV per formula unit

a = 6.1652 Å, b = 6.1652 Å, c = 6.1652 Å
α = 82.32°, β = 82.32°, γ = 82.32°
With the nearest neighbours (Å) after each atom.
Positions (direct):
Mn 0.1082 0.1082 0.1082  12 Co 2.45-2.73, 1 Mn 2.60
Mn 0.8918 0.8918 0.8918  12 Co 2.45-2.73, 1 Mn 2.60
Fe 0.3664 0.3664 0.3664  12 Co 2.64-2.91
Fe 0.6336 0.6336 0.6336  12 Co 2.64-2.91
Co 0.0000 0.0000 0.5000  8 Co 2.35-2.40, 2 Mn 2.45
Co 0.0000 0.2959 0.7041  8 Co 2.35-2.56
Co 0.0000 0.5000 0.0000  8 Co 2.35-2.40, 2 Mn 2.45
Co 0.0000 0.7041 0.2959  8 Co 2.35-2.56
Co 0.1599 0.6408 0.6408  8 Co 2.30-2.56
Co 0.2959 0.0000 0.7041  8 Co 2.35-2.56
Co 0.2959 0.7041 0.0000  8 Co 2.35-2.56
Co 0.3592 0.3592 0.8401  8 Co 2.30-2.56
Co 0.3592 0.8401 0.3592  8 Co 2.30-2.56
Co 0.5000 0.0000 0.0000  8 Co 2.35-2.40, 2 Mn 2.45
Co 0.6408 0.1599 0.6408  8 Co 2.30-2.56
Co 0.6408 0.6408 0.1599  8 Co 2.30-2.56
Co 0.7041 0.0000 0.2959  8 Co 2.35-2.56
Co 0.7041 0.2959 0.0000  8 Co 2.35-2.56
Co 0.8401 0.3592 0.3592  8 Co 2.30-2.56